No. 1
A geometry-optimized SrLa2Au2 structure. Source: the Alexandria database, functional PBE.

Lattice parameters (Å, degrees): 8.9360 8.9360 3.6530 90.00 90.00 90.00
Last column: nearest neighbours and their distance in Å.
Fractional positions:
Au 0.8374 0.3374 0.5000  6 La 3.14-3.24
Au 0.1626 0.6626 0.5000  6 La 3.14-3.24
Au 0.3374 0.1626 0.5000  6 La 3.14-3.24
Au 0.6626 0.8374 0.5000  6 La 3.14-3.24
Sr 0.0000 0.0000 0.0000  4 La 3.48, 2 Sr 3.65, 8 Au 3.81
Sr 0.5000 0.5000 0.0000  4 La 3.48, 2 Sr 3.65, 8 Au 3.81
La 0.3648 0.8648 0.0000  6 Au 3.14-3.24, 1 La 3.42, 2 Sr 3.48
La 0.8648 0.6352 0.0000  6 Au 3.14-3.24, 1 La 3.42, 2 Sr 3.48
La 0.1352 0.3648 0.0000  6 Au 3.14-3.24, 1 La 3.42, 2 Sr 3.48
La 0.6352 0.1352 0.0000  6 Au 3.14-3.24, 1 La 3.42, 2 Sr 3.48

Results
Energy relative to the elements: -0.53 eV per atom
Total moment: 0.0 μB per cell
Excess energy over the best structure of this formula in the dataset: 97 meV per atom

No. 2
A geometry-optimized Cs2Ag2Pb structure. Source: the Alexandria database, functional PBE.

Lattice parameters (Å, degrees): 10.5678 10.5678 3.5978 90.00 90.00 90.00
Last column: nearest neighbours and their distance in Å.
Fractional positions:
Pb 0.5000 0.5000 0.0000  2 Pb 3.60
Pb 0.0000 0.0000 0.0000  2 Pb 3.60
Cs 0.6366 0.1366 0.0000  6 Ag 3.46-3.68, 2 Cs 3.60
Cs 0.1366 0.3634 0.0000  6 Ag 3.46-3.68, 2 Cs 3.60
Cs 0.8634 0.6366 0.0000  6 Ag 3.46-3.68, 2 Cs 3.60
Cs 0.3634 0.8634 0.0000  6 Ag 3.46-3.68, 2 Cs 3.60
Ag 0.1657 0.6657 0.5000  6 Cs 3.46-3.68, 2 Ag 3.60
Ag 0.8343 0.3343 0.5000  6 Cs 3.46-3.68, 2 Ag 3.60
Ag 0.3343 0.1657 0.5000  6 Cs 3.46-3.68, 2 Ag 3.60
Ag 0.6657 0.8343 0.5000  6 Cs 3.46-3.68, 2 Ag 3.60

Results
Energy relative to the elements: 0.37 eV per atom
Total moment: 0.0 μB per cell
Excess energy over the best structure of this formula in the dataset: 298 meV per atom

No. 3
A geometry-optimized NaPrGa2Au2 structure. Source: the Alexandria database, functional PBE.

Lattice parameters (Å, degrees): 4.6134 4.6134 6.9529 90.00 90.00 120.00
Last column: nearest neighbours and their distance in Å.
Fractional positions:
Ga 0.6667 0.3333 0.2819  3 Au 2.67
Ga 0.3333 0.6667 0.7181  3 Au 2.67
Au 0.3333 0.6667 0.2685  3 Ga 2.67
Au 0.6667 0.3333 0.7315  3 Ga 2.67
Pr 0.0000 0.0000 0.0000  6 Au 3.25, 6 Ga 3.31, 2 Na 3.48
Na 0.0000 0.0000 0.5000  6 Ga 3.06, 6 Au 3.11

Results
Energy relative to the elements: -0.53 eV per atom
Total moment: 0.0 μB per cell